This record from Alexandria via LeMat-Bulk describes a geometry-optimized Ba3EuHg structure. The functional is PBE-GGA.

Cell: 6.6618 6.6618 6.6618 Å, 90.00 90.00 90.00°
Fractional coordinates of all 5 atoms:
Ba 0.0000 0.0000 0.5000
Ba 0.0000 0.5000 0.0000
Ba 0.5000 0.0000 0.0000
Eu 0.5000 0.5000 0.5000
Hg 0.0000 0.0000 0.0000

Properties
**Total magnetization**: 1.50 μB/atom
**Total energy**: -3.3402 eV/atom

---

This record from Alexandria via LeMat-Bulk describes a geometry-optimized BaEu2Hg structure. The functional is PBE-GGA.

Cell: 4.0176 4.0176 10.0547 Å, 90.00 90.00 90.00°
Fractional coordinates of all 4 atoms:
Ba 0.0000 0.0000 0.0000
Eu 0.5000 0.5000 0.3199
Eu 0.5000 0.5000 0.6801
Hg 0.0000 0.0000 0.5000

Properties
**Total magnetization**: 3.75 μB/atom
**Total energy**: -5.9471 eV/atom

---

This record from Alexandria via LeMat-Bulk describes a geometry-optimized Ba2EuHg structure. The functional is PBE-GGA.

Cell: 4.1998 4.1998 10.3579 Å, 90.00 90.00 90.00°
Fractional coordinates of all 4 atoms:
Ba 0.0000 0.0000 0.1960
Ba 0.0000 0.0000 0.8040
Eu 0.5000 0.5000 0.5000
Hg 0.5000 0.5000 0.0000

Properties
**Total magnetization**: 2.07 μB/atom
**Total energy**: -3.8416 eV/atom

---

This record from Alexandria via LeMat-Bulk describes a geometry-optimized BaLiEuHg structure. The functional is PBE-GGA.

Cell: 5.7962 5.7962 5.7962 Å, 60.00 60.00 60.00°
Fractional coordinates of all 4 atoms:
Ba 0.0000 0.0000 0.0000
Li 0.2500 0.2500 0.2500
Eu 0.5000 0.5000 0.5000
Hg 0.7500 0.7500 0.7500

Properties
**Total magnetization**: 1.85 μB/atom
**Total energy**: -3.8338 eV/atom

---

This record from Alexandria via LeMat-Bulk describes a geometry-optimized BaEuMgHg structure. The functional is PBE-GGA.

Cell: 5.8330 5.8330 5.8330 Å, 60.00 60.00 60.00°
Fractional coordinates of all 4 atoms:
Ba 0.0000 0.0000 0.0000
Eu 0.5000 0.5000 0.5000
Mg 0.2500 0.2500 0.2500
Hg 0.7500 0.7500 0.7500

Properties
**Total magnetization**: 1.86 μB/atom
**Total energy**: -3.7807 eV/atom

---

This record from Alexandria via LeMat-Bulk describes a geometry-optimized BaNaEuHg structure. The functional is PBE-GGA.

Cell: 5.9505 5.9505 5.9505 Å, 60.00 60.00 60.00°
Fractional coordinates of all 4 atoms:
Ba 0.0000 0.0000 0.0000
Na 0.7500 0.7500 0.7500
Eu 0.5000 0.5000 0.5000
Hg 0.2500 0.2500 0.2500

Properties
**Total magnetization**: 1.88 μB/atom
**Total energy**: -3.6499 eV/atom

---

This record from Alexandria via LeMat-Bulk describes a geometry-optimized BaEuHgPb structure. The functional is PBE-GGA.

Cell: 5.8411 5.8411 5.8411 Å, 60.00 60.00 60.00°
Fractional coordinates of all 4 atoms:
Ba 0.0000 0.0000 0.0000
Eu 0.5000 0.5000 0.5000
Hg 0.2500 0.2500 0.2500
Pb 0.7500 0.7500 0.7500

Properties
**Total magnetization**: 1.76 μB/atom
**Total energy**: -4.6185 eV/atom

---

This record from Alexandria via LeMat-Bulk describes a geometry-optimized BaEuHgPd structure. The functional is PBE-GGA.

Cell: 5.5480 5.5480 5.5480 Å, 60.00 60.00 60.00°
Fractional coordinates of all 4 atoms:
Ba 0.0000 0.0000 0.0000
Eu 0.5000 0.5000 0.5000
Hg 0.2500 0.2500 0.2500
Pd 0.7500 0.7500 0.7500

Properties
**Total magnetization**: 1.86 μB/atom
**Total energy**: -4.8820 eV/atom

---

This record from Alexandria via LeMat-Bulk describes a geometry-optimized BaEuSiHg structure. The functional is PBE-GGA.

Cell: 5.5995 5.5995 5.5995 Å, 60.00 60.00 60.00°
Fractional coordinates of all 4 atoms:
Ba 0.0000 0.0000 0.0000
Eu 0.5000 0.5000 0.5000
Si 0.2500 0.2500 0.2500
Hg 0.7500 0.7500 0.7500

Properties
**ΔE_f (raw)**: -0.3913 eV per atom
**Total magnetization**: 1.76 μB/atom

---

This record from Alexandria via LeMat-Bulk describes a geometry-optimized BaEuSnHg structure. The functional is PBE-GGA.

Cell: 5.7970 5.7970 5.7970 Å, 60.00 60.00 60.00°
Fractional coordinates of all 4 atoms:
Ba 0.0000 0.0000 0.0000
Eu 0.5000 0.5000 0.5000
Sn 0.7500 0.7500 0.7500
Hg 0.2500 0.2500 0.2500

Properties
**Total magnetization**: 1.76 μB/atom
**Total energy**: -4.7421 eV/atom

---

This record from Alexandria via LeMat-Bulk describes a geometry-optimized BaEu2In structure. The functional is PBE-GGA.

Cell: 5.3086 5.3086 5.3985 Å, 90.00 90.00 90.00°
Fractional coordinates of all 4 atoms:
Ba 0.0000 0.0000 0.0000
Eu 0.0000 0.5000 0.5000
Eu 0.5000 0.0000 0.5000
In 0.5000 0.5000 0.0000

Properties
**Total magnetization**: 3.76 μB/atom
**Total energy**: -6.4564 eV/atom

---

This record from Alexandria via LeMat-Bulk describes a geometry-optimized BaEu2In structure. The functional is PBE-GGA.

Cell: 5.9047 5.9047 5.9047 Å, 60.00 60.00 60.00°
Fractional coordinates of all 4 atoms:
Ba 0.0000 0.0000 0.0000
Eu 0.2500 0.2500 0.2500
Eu 0.7500 0.7500 0.7500
In 0.5000 0.5000 0.5000

Properties
**Total magnetization**: 3.74 μB/atom
**Total energy**: -6.4464 eV/atom

---

This record from Alexandria via LeMat-Bulk describes a geometry-optimized BaEuIn4 structure. The functional is PBE-GGA.

Cell: 6.3379 6.3379 6.3379 Å, 60.00 60.00 60.00°
Fractional coordinates of all 6 atoms:
Ba 0.0000 0.0000 0.0000
Eu 0.2500 0.2500 0.2500
In 0.1259 0.6247 0.6247
In 0.6247 0.1259 0.6247
In 0.6247 0.6247 0.1259
In 0.6247 0.6247 0.6247

Properties
**Total magnetization**: 1.22 μB/atom
**Total energy**: -4.2683 eV/atom

---

This record from Alexandria via LeMat-Bulk describes a geometry-optimized BaEu2In structure. The functional is PBE-GGA.

Cell: 4.0929 4.0929 9.8571 Å, 90.00 90.00 90.00°
Fractional coordinates of all 4 atoms:
Ba 0.0000 0.0000 0.0000
Eu 0.5000 0.5000 0.3172
Eu 0.5000 0.5000 0.6828
In 0.0000 0.0000 0.5000

Properties
**Total magnetization**: 3.71 μB/atom
**Total energy**: -6.5144 eV/atom

---

This record from Alexandria via LeMat-Bulk describes a geometry-optimized KBaEuIn structure. The functional is PBE-GGA.

Cell: 6.1526 6.1526 6.1526 Å, 60.00 60.00 60.00°
Fractional coordinates of all 4 atoms:
K 0.0000 0.0000 0.0000
Ba 0.2500 0.2500 0.2500
Eu 0.7500 0.7500 0.7500
In 0.5000 0.5000 0.5000

Properties
**Total magnetization**: 1.80 μB/atom
**Total energy**: -4.0811 eV/atom

---

This record from Alexandria via LeMat-Bulk describes a geometry-optimized BaLiEuIn structure. The functional is PBE-GGA.

Cell: 5.8554 5.8554 5.8554 Å, 60.00 60.00 60.00°
Fractional coordinates of all 4 atoms:
Ba 0.0000 0.0000 0.0000
Li 0.7500 0.7500 0.7500
Eu 0.5000 0.5000 0.5000
In 0.2500 0.2500 0.2500

Properties
**Total magnetization**: 1.79 μB/atom
**Total energy**: -4.4172 eV/atom

---

This record from Alexandria via LeMat-Bulk describes a geometry-optimized BaNdEuIn structure. The functional is PBE-GGA.

Cell: 5.9039 5.9039 5.9039 Å, 60.00 60.00 60.00°
Fractional coordinates of all 4 atoms:
Ba 0.0000 0.0000 0.0000
Nd 0.5000 0.5000 0.5000
Eu 0.7500 0.7500 0.7500
In 0.2500 0.2500 0.2500

Properties
**Total magnetization**: 1.82 μB/atom
**Total energy**: -5.0170 eV/atom

---

This record from Alexandria via LeMat-Bulk describes a geometry-optimized BaSmEuIn structure. The functional is PBE-GGA.

Cell: 5.8769 5.8769 5.8769 Å, 60.00 60.00 60.00°
Fractional coordinates of all 4 atoms:
Ba 0.0000 0.0000 0.0000
Sm 0.5000 0.5000 0.5000
Eu 0.7500 0.7500 0.7500
In 0.2500 0.2500 0.2500

Properties
**Total magnetization**: 1.83 μB/atom
**Total energy**: -4.9890 eV/atom

---

This record from Alexandria via LeMat-Bulk describes a geometry-optimized BaSrEuIn structure. The functional is PBE-GGA.

Cell: 6.1181 6.1181 6.1181 Å, 60.00 60.00 60.00°
Fractional coordinates of all 4 atoms:
Ba 0.0000 0.0000 0.0000
Sr 0.2500 0.2500 0.2500
Eu 0.5000 0.5000 0.5000
In 0.7500 0.7500 0.7500

Properties
**Total magnetization**: 1.86 μB/atom
**Total energy**: -4.2767 eV/atom

---

This record from Alexandria via LeMat-Bulk describes a geometry-optimized BaEuZnIn structure. The functional is PBE-GGA.

Cell: 5.7207 5.7207 5.7207 Å, 60.00 60.00 60.00°
Fractional coordinates of all 4 atoms:
Ba 0.0000 0.0000 0.0000
Eu 0.5000 0.5000 0.5000
Zn 0.2500 0.2500 0.2500
In 0.7500 0.7500 0.7500

Properties
**Total magnetization**: 1.74 μB/atom
**Total energy**: -4.3377 eV/atom